First-principles (GGA-PBE) data for a relaxed Tb3Nd4Sb4 crystal, as listed in Alexandria.

Cell lengths 4.072, 9.102, 10.306 Å; angles 116.20, 101.39, 90.00 degrees
Positions (direct):
Sb 0.274 0.774 0.549
Tb 0.095 0.095 0.190
Nd 0.332 0.505 0.663
Tb 0.000 0.500 0.000
Nd 0.668 0.841 0.337
Sb 0.726 0.226 0.451
Sb 0.500 0.212 0.000
Nd 0.332 0.159 0.663
Tb 0.905 0.905 0.810
Nd 0.668 0.495 0.337
Sb 0.500 0.788 0.000

Values from the calculation:
**Space-group type**: No. 71
**ΔE_f (raw)**: -791.8 meV/atom
**Calculated volume**: 30.387 Å³/atom

First-principles (GGA-PBE) data for a relaxed La6Ho2Th crystal, as listed in Alexandria.

Cell lengths 3.688, 10.276, 10.276 Å; angles 125.38, 85.66, 85.66 degrees
Positions (direct):
La 0.180 0.843 0.498
La 0.323 0.323 0.323
Ho 0.500 0.160 0.840
La 0.820 0.157 0.502
Th 0.000 0.000 0.000
La 0.820 0.502 0.157
Ho 0.500 0.840 0.160
La 0.180 0.498 0.843
La 0.677 0.677 0.677

Values from the calculation:
**Energy relative to the lowest polymorph listed for this composition**: 44 meV/atom
**Space-group type**: No. 12
**E_form**: 103 meV per atom
**Calculated volume**: 34.805 Å³/atom

First-principles (GGA-PBE) data for a relaxed LiSiPd2O crystal, as listed in Alexandria.

Cell lengths 4.159, 4.244, 4.159 Å; angles 90.00, 90.00, 90.00 degrees
Positions (direct):
Pd 0.000 0.000 0.500
Pd 0.500 0.000 0.000
Li 0.000 0.000 0.000
Si 0.000 0.500 0.000
O 0.500 0.500 0.500

Values from the calculation:
**Space-group type**: No. 123
**ΔE_f (raw)**: 789.7 meV/atom
**Calculated volume**: 14.683 Å³/atom

First-principles (GGA-PBE) data for a relaxed Zn2PSe crystal, as listed in Alexandria.

Cell lengths 3.718, 3.716, 5.270 Å; angles 90.00, 90.00, 90.00 degrees
Positions (direct):
Zn 0.500 0.500 0.000
P 0.500 0.500 0.500
Se 0.000 0.000 0.500
Zn 0.000 0.000 0.000

Values from the calculation:
**Space-group type**: No. 123
**ΔE_f (raw)**: 197.2 meV/atom
**Calculated volume**: 18.200 Å³/atom

First-principles (GGA-PBE) data for a relaxed AlHgI3 crystal, as listed in Alexandria.

Cell lengths 5.610, 5.610, 5.610 Å; angles 90.00, 90.00, 90.00 degrees
Positions (direct):
Al 0.000 0.000 0.000
I 0.000 0.000 0.500
Hg 0.500 0.500 0.500
I 0.000 0.500 0.000
I 0.500 0.000 0.000

Values from the calculation:
**Energy relative to the lowest polymorph listed for this composition**: 262 meV/atom
**Space-group type**: No. 221
**ΔE_f (raw)**: -229.5 meV/atom
**Calculated volume**: 35.316 Å³/atom

First-principles (GGA-PBE) data for a relaxed CuGe2 crystal, as listed in Alexandria.

Cell lengths 3.607, 3.607, 5.375 Å; angles 120.47, 120.47, 85.16 degrees
Positions (direct):
Cu 0.500 0.500 0.000
Ge 0.144 0.144 0.339
Ge 0.856 0.856 0.661

Values from the calculation:
**Space-group type**: No. 12
**E_form**: 238 meV per atom
**Calculated volume**: 16.841 Å³/atom

First-principles (GGA-PBE) data for a relaxed ErZrSc2Sb4 crystal, as listed in Alexandria.

Cell lengths 4.199, 7.280, 7.256 Å; angles 109.34, 90.00, 90.00 degrees
Positions (direct):
Er 0.500 0.500 0.000
Sc 0.500 0.000 0.500
Sb 0.000 0.758 0.259
Sb 0.000 0.242 0.741
Sc 0.000 0.500 0.500
Sb 0.500 0.246 0.255
Zr 0.000 0.000 0.000
Sb 0.500 0.754 0.745

Values from the calculation:
**Space-group type**: No. 10
**ΔE_f (raw)**: -888.5 meV/atom
**Calculated volume**: 26.163 Å³/atom

First-principles (GGA-PBE) data for a relaxed Ir3Ru crystal, as listed in Alexandria.

Cell lengths 5.492, 4.403, 4.760 Å; angles 90.00, 90.00, 90.00 degrees
Positions (direct):
Ir 0.500 0.000 0.666
Ir 0.251 0.500 0.832
Ir 0.749 0.500 0.832
Ir 0.751 0.000 0.168
Ir 0.249 0.000 0.168
Ru 0.500 0.500 0.332
Ru 0.000 0.000 0.668
Ir 0.000 0.500 0.334

Values from the calculation:
**Space-group type**: No. 59
**E_form**: 6 meV per atom
**Calculated volume**: 14.391 Å³/atom

First-principles (GGA-PBE) data for a relaxed Yb2HgBi crystal, as listed in Alexandria.

Cell lengths 5.476, 5.476, 5.476 Å; angles 60.00, 60.00, 60.00 degrees
Positions (direct):
Hg 0.000 0.000 0.000
Bi 0.500 0.500 0.500
Yb 0.750 0.750 0.750
Yb 0.250 0.250 0.250

Values from the calculation:
**Space-group type**: No. 225
**E_form**: -677 meV per atom
**Calculated volume**: 29.023 Å³/atom

First-principles (GGA-PBE) data for a relaxed LaSi2IrO crystal, as listed in Alexandria.

Cell lengths 5.605, 5.605, 4.904 Å; angles 90.00, 90.00, 90.00 degrees
Positions (direct):
La 0.000 0.000 0.000
Si 0.500 0.000 0.000
O 0.500 0.500 0.500
Si 0.000 0.500 0.000
Ir 0.000 0.000 0.500

Values from the calculation:
**Space-group type**: No. 123
**ΔE_f (raw)**: 2074.3 meV/atom
**Calculated volume**: 30.815 Å³/atom

First-principles (GGA-PBE) data for a relaxed AlZn3In crystal, as listed in Alexandria.

Cell lengths 5.124, 5.124, 5.124 Å; angles 90.00, 90.00, 90.00 degrees
Positions (direct):
Zn 0.500 0.000 0.000
Zn 0.000 0.500 0.000
Al 0.500 0.500 0.500
Zn 0.000 0.000 0.500
In 0.000 0.000 0.000

Values from the calculation:
**Energy relative to the lowest polymorph listed for this composition**: 307 meV/atom
**Space-group type**: No. 221
**E_form**: 673 meV per atom
**Calculated volume**: 26.914 Å³/atom

First-principles (GGA-PBE) data for a relaxed Rb2NaInHg crystal, as listed in Alexandria.

Cell lengths 6.965, 6.965, 5.610 Å; angles 90.00, 90.00, 90.00 degrees
Positions (direct):
Rb 0.000 0.500 0.000
Na 0.500 0.500 0.500
Rb 0.500 0.000 0.000
Hg 0.000 0.000 0.000
In 0.000 0.000 0.500

Values from the calculation:
**Space-group type**: No. 123
**E_form**: 32 meV per atom
**Calculated volume**: 54.429 Å³/atom

First-principles (GGA-PBE) data for a relaxed Rb2PuCl4F2 crystal, as listed in Alexandria.

Cell lengths 5.776, 7.036, 7.036 Å; angles 65.68, 81.44, 81.44 degrees
Positions (direct):
Cl 0.702 0.849 0.353
F 0.778 0.860 0.860
F 0.222 0.140 0.140
Cl 0.298 0.647 0.151
Rb 0.180 0.668 0.668
Rb 0.820 0.332 0.332
Cl 0.298 0.151 0.647
Cl 0.702 0.353 0.849
Pu 0.500 0.000 0.000

Values from the calculation:
**Space-group type**: No. 12
**ΔE_f (raw)**: -2335.3 meV/atom
**Calculated volume**: 28.491 Å³/atom

First-principles (GGA-PBE) data for a relaxed K2Cd10Hg crystal, as listed in Alexandria.

Cell lengths 6.325, 8.445, 14.857 Å; angles 90.00, 90.00, 90.00 degrees
Positions (direct):
Cd 0.000 0.650 0.671
Cd 0.729 0.318 0.671
Cd 0.729 0.818 0.829
Cd 0.000 0.850 0.171
Cd 0.000 0.150 0.829
Cd 0.271 0.682 0.329
Hg 0.000 0.000 0.000
Cd 0.271 0.318 0.671
Cd 0.000 0.986 0.669
Cd 0.000 0.169 0.509
Cd 0.271 0.818 0.829
K 0.500 0.241 0.916
Cd 0.000 0.831 0.491
Cd 0.000 0.514 0.169
Cd 0.000 0.486 0.831
Cd 0.000 0.350 0.329
Cd 0.000 0.331 0.009
Cd 0.000 0.669 0.991
Cd 0.271 0.182 0.171
Cd 0.000 0.014 0.331
K 0.500 0.759 0.084
Cd 0.729 0.682 0.329
K 0.500 0.741 0.584
Hg 0.000 0.500 0.500
Cd 0.729 0.182 0.171
K 0.500 0.259 0.416

Values from the calculation:
**Space-group type**: No. 55
**E_form**: 6 meV per atom
**Calculated volume**: 30.521 Å³/atom

First-principles (GGA-PBE) data for a relaxed Hf2Zr8Zn crystal, as listed in Alexandria.

Cell lengths 5.965, 8.743, 8.743 Å; angles 40.47, 59.73, 59.73 degrees
Positions (direct):
Zn 0.000 0.000 0.000
Zr 0.156 0.754 0.754
Zr 0.283 0.394 0.394
Zr 0.222 0.815 0.339
Zr 0.222 0.339 0.815
Zr 0.778 0.185 0.661
Zr 0.778 0.661 0.185
Zr 0.844 0.246 0.246
Zr 0.717 0.606 0.606
Hf 0.445 0.179 0.179
Hf 0.555 0.821 0.821

Values from the calculation:
**Space-group type**: No. 12
**E_form**: 105 meV per atom
**Calculated volume**: 22.693 Å³/atom

First-principles (GGA-PBE) data for a relaxed NdHgO crystal, as listed in Alexandria.

Cell lengths 3.965, 3.965, 10.092 Å; angles 78.67, 78.67, 60.00 degrees
Positions (direct):
Hg 0.133 0.133 0.601
Nd 0.384 0.384 0.848
O 0.697 0.697 0.908
Nd 0.616 0.616 0.152
O 0.303 0.303 0.092
Hg 0.867 0.867 0.399

Values from the calculation:
**Space-group type**: No. 166
**ΔE_f (raw)**: -1974.4 meV/atom
**Calculated volume**: 22.301 Å³/atom

First-principles (GGA-PBE) data for a relaxed GdZrTi4 crystal, as listed in Alexandria.

Cell lengths 5.650, 5.650, 5.650 Å; angles 60.00, 60.00, 60.00 degrees
Positions (direct):
Ti 0.622 0.622 0.622
Gd 0.000 0.000 0.000
Zr 0.250 0.250 0.250
Ti 0.135 0.622 0.622
Ti 0.622 0.135 0.622
Ti 0.622 0.622 0.135

Values from the calculation:
**Space-group type**: No. 216
**E_form**: 211 meV per atom
**Calculated volume**: 21.261 Å³/atom

First-principles (GGA-PBE) data for a relaxed FeTcRu crystal, as listed in Alexandria.

Cell lengths 2.690, 5.297, 5.953 Å; angles 77.07, 76.92, 90.01 degrees
Positions (direct):
Ru 0.666 0.086 0.668
Ru 0.334 0.914 0.332
Tc 0.002 0.742 0.996
Fe 0.672 0.583 0.656
Fe 0.328 0.417 0.344
Tc 0.998 0.258 0.004

Values from the calculation:
**Energy relative to the lowest polymorph listed for this composition**: 13 meV/atom
**Space-group type**: No. 12
**E_form**: 98 meV per atom
**Calculated volume**: 13.402 Å³/atom